# BeAl2As

A relaxed structure of BeAl2As (PBE-GGA, the Alexandria database).

Computed properties:
Relative energy among the computed polymorphs = 0.665 eV/f.u.
ΔE_f = 5.6 kcal/mol of atoms
Space-group type = C2/m (12)
Crystal system = monoclinic
Magnetization = 0.00 μB per formula unit

Cell lengths 4.9465, 4.9465, 4.8244 Å; angles 104.12, 104.12, 32.58 degrees
Last column: nearest neighbours and their distance in Å.
Positions (direct):
Be (0.0000, 0.0000, 0.0000)  4 Al 2.58, 2 Be 2.78, 4 As 2.78
Al (0.2712, 0.2712, 0.7662)  2 Be 2.58, 6 Al 2.76-2.86, 1 As 2.79
Al (0.7288, 0.7288, 0.2338)  2 Be 2.58, 6 Al 2.76-2.86, 1 As 2.79
As (0.5000, 0.5000, 0.5000)  2 As 2.78, 4 Be 2.78, 6 Al 2.79-2.92